Computed, not measured: a relaxed structure of BeCo2NiH at the PBE level of DFT.

Unit cell a=4.2629 b=2.6140 c=4.2629 alpha=90.00 beta=90.00 gamma=90.00
Fractional coordinates of all 5 atoms:
1 Co 0.5000 0.0000 0.0000
2 H 0.0000 0.5000 0.0000
3 Ni 0.5000 0.5000 0.5000
4 Co 0.0000 0.0000 0.5000
5 Be 0.0000 0.0000 0.0000

Results
Symmetry: P4/mmm
Distance to the lowest polymorph of the same formula (meV/atom): 672
Total moment (μB/f.u.): 3.25